Computed, not measured: an optimized crystal structure of ZrSBr3 at the GGA-PBE level of DFT.

Properties
Energy above the lowest structure with this stoichiometry (meV/atom): 1761
Energy (eV per cell): -15.1
Uncorrected formation energy (eV/atom): 0.524
Magnetic moment (μB/cell): 2.44
Symmetry: No. 221

Unit cell a=5.212 b=5.212 c=5.212 alpha=90.00 beta=90.00 gamma=90.00
Each line ends with the local moment (μB).
Fractional positions:
S 0.000 0.000 0.000  0.02
Br 0.000 0.500 0.000  -0.01
Br 0.000 0.000 0.500  -0.01
Br 0.500 0.000 0.000  0.00
Zr 0.500 0.500 0.500  1.64